(1)
Below is a relaxed ScTc2P crystal, with properties calculated at the PBE level.

Cell: 7.7724 7.7724 7.7724 Å, 23.21 23.21 23.21°
Fractional coordinates of all 4 atoms:
1 P 0.5000 0.5000 0.5000
2 Tc 0.7648 0.7648 0.7648
3 Tc 0.2352 0.2352 0.2352
4 Sc 0.0000 0.0000 0.0000

Values from the calculation:
Energy relative to the elements   -0.17 eV per atom
Symmetry   R-3m

(2)
Below is a relaxed RbOsSO2 crystal, with properties calculated at the PBE level.

Cell: 4.0286 4.8368 4.0286 Å, 90.00 90.00 90.00°
Fractional coordinates of all 5 atoms:
1 Os 0.0000 0.0000 0.0000
2 O 0.5000 0.0000 0.0000
3 S 0.0000 0.5000 0.0000
4 Rb 0.5000 0.5000 0.5000
5 O 0.0000 0.0000 0.5000

Values from the calculation:
Symmetry   P4/mmm
Formation energy from raw total energies   -584 meV/atom

(3)
Below is a relaxed PmSmYEr crystal, with properties calculated at the PBE level.

Cell: 5.7227 5.7227 5.7227 Å, 60.00 60.00 60.00°
Fractional coordinates of all 4 atoms:
1 Er 0.0000 0.0000 0.0000
2 Sm 0.2500 0.2500 0.2500
3 Y 0.7500 0.7500 0.7500
4 Pm 0.5000 0.5000 0.5000

Values from the calculation:
E above lowest polymorph   19 meV/atom
Energy relative to the elements   0.14 eV per atom
Symmetry   F-43m

(4)
Below is a relaxed CdCo2Br crystal, with properties calculated at the PBE level.

Cell: 5.0187 5.0187 7.7201 Å, 50.75 50.75 37.00°
Fractional coordinates of all 4 atoms:
1 Br 0.7500 0.7500 0.7500
2 Co 0.0514 0.0514 0.1159
3 Cd 0.2500 0.2500 0.2500
4 Co 0.4486 0.4486 0.3841

Values from the calculation:
E above lowest polymorph   2 meV/atom
Symmetry   C2/m
Formation energy from raw total energies   329 meV/atom

(5)
Below is a relaxed Pu12BiRh6 crystal, with properties calculated at the PBE level.

Cell: 8.1598 8.1598 8.1598 Å, 105.80 105.80 105.80°
Fractional coordinates of all 19 atoms:
1 Rh 0.2942 0.7123 0.7123
2 Rh 0.7123 0.2942 0.7123
3 Pu 0.8842 0.5000 0.1158
4 Rh 0.2877 0.7058 0.2877
5 Pu 0.5000 0.1158 0.8842
6 Pu 0.8842 0.1158 0.5000
7 Pu 0.1485 0.4013 0.4013
8 Pu 0.4013 0.1485 0.4013
9 Pu 0.1158 0.5000 0.8842
10 Rh 0.7058 0.2877 0.2877
11 Rh 0.7123 0.7123 0.2942
12 Pu 0.5987 0.8515 0.5987
13 Rh 0.2877 0.2877 0.7058
14 Pu 0.4013 0.4013 0.1485
15 Pu 0.5987 0.5987 0.8515
16 Bi 0.0000 0.0000 0.0000
17 Pu 0.8515 0.5987 0.5987
18 Pu 0.5000 0.8842 0.1158
19 Pu 0.1158 0.8842 0.5000

Values from the calculation:
Energy relative to the elements   -0.15 eV per atom
Symmetry   R-3m

(6)
Below is a relaxed BeMo2W crystal, with properties calculated at the PBE level.

Cell: 5.0489 5.0489 5.0489 Å, 143.35 129.69 63.84°
Fractional coordinates of all 4 atoms:
1 Mo 0.9962 0.9962 0.0000
2 Mo 0.5038 0.5038 0.0000
3 W 0.7500 0.2500 0.5000
4 Be 0.2500 0.7500 0.5000

Values from the calculation:
Energy relative to the elements   0.19 eV per atom
Symmetry   Immm

(7)
Below is a relaxed BeSb4Se crystal, with properties calculated at the PBE level.

Cell: 6.1330 6.1330 6.1330 Å, 60.00 60.00 60.00°
Fractional coordinates of all 6 atoms:
1 Sb 0.3762 0.8713 0.3762
2 Be 0.0000 0.0000 0.0000
3 Sb 0.3762 0.3762 0.8713
4 Sb 0.8713 0.3762 0.3762
5 Se 0.7500 0.7500 0.7500
6 Sb 0.3762 0.3762 0.3762

Values from the calculation:
Symmetry   F-43m
Formation energy from raw total energies   764 meV/atom

(8)
Below is a relaxed KPtSeBr2 crystal, with properties calculated at the PBE level.

Cell: 5.8838 5.8838 5.9320 Å, 90.00 90.00 90.00°
Fractional coordinates of all 5 atoms:
1 K 0.0000 0.0000 0.0000
2 Se 0.0000 0.0000 0.5000
3 Pt 0.5000 0.5000 0.5000
4 Br 0.5000 0.0000 0.0000
5 Br 0.0000 0.5000 0.0000

Values from the calculation:
E above lowest polymorph   1498 meV/atom
Symmetry   P4/mmm
Formation energy from raw total energies   946 meV/atom

Short version: total moment = 0.0 0.0 0.1 3.6 65.9 0.0 0.0 3.0 Bohr magnetons per cell, in the order given.